Record 1
# Ce3Ga9Rh2 | Alexandria | PBE-GGA | relaxed
# - Fermi-level density of states: 1.069 states/eV per atom
# - Energy of formation: -61.51 kJ/mol of atoms
# - Raw total energy: -4.91 eV/atom
# - Symmetry: Immm
data_Ce3Ga9Rh2
_chemical_formula_sum 'Ce3 Ga9 Rh2'
_symmetry_space_group_name_H-M 'P 1'
_symmetry_Int_Tables_number 1
_symmetry_space_group_name_Hall 'P 1'
_cell_length_a 8.1964
_cell_length_b 8.1964
_cell_length_c 8.1964
_cell_angle_alpha 149.12
_cell_angle_beta 109.87
_cell_angle_gamma 78.58
loop_
_atom_site_label
_atom_site_fract_x
_atom_site_fract_y
_atom_site_fract_z
Ce1 0.0000 0.0000 0.0000
Ce2 0.3024 0.3024 0.0000
Ce3 0.6976 0.6976 0.0000
Ga1 0.0174 0.6542 0.3632
Ga2 0.1471 0.8660 0.2811
Ga3 0.2910 0.6542 0.6368
Ga4 0.4151 0.1340 0.2811
Ga5 0.5000 0.0000 0.5000
Ga6 0.5849 0.8660 0.7189
Ga7 0.7090 0.3458 0.3632
Ga8 0.8529 0.1340 0.7189
Ga9 0.9826 0.3458 0.6368
Rh1 0.3222 0.5000 0.8222
Rh2 0.6778 0.5000 0.1778


Record 2
# Ce2Ga5Rh3 | Alexandria | PBE-GGA | relaxed
# - Fermi-level density of states: 1.013 states/eV per atom
# - Energy of formation: -74.92 kJ/mol of atoms
# - Raw total energy: -5.68 eV/atom
# - Symmetry: Ibam
data_Ce2Ga5Rh3
_chemical_formula_sum 'Ce4 Ga10 Rh6'
_symmetry_space_group_name_H-M 'P 1'
_symmetry_Int_Tables_number 1
_symmetry_space_group_name_Hall 'P 1'
_cell_length_a 8.6382
_cell_length_b 8.6382
_cell_length_c 8.6382
_cell_angle_alpha 108.57
_cell_angle_beta 84.32
_cell_angle_gamma 141.30
loop_
_atom_site_label
_atom_site_fract_x
_atom_site_fract_y
_atom_site_fract_z
Ce1 0.1414 0.2227 0.3641
Ce2 0.3586 0.7227 0.0813
Ce3 0.6414 0.2773 0.9187
Ce4 0.8586 0.7773 0.6359
Ga1 0.0464 0.7500 0.2964
Ga2 0.0876 0.6722 0.7598
Ga3 0.2500 0.2500 0.0000
Ga4 0.4124 0.1722 0.5845
Ga5 0.4536 0.7500 0.7036
Ga6 0.5464 0.2500 0.2964
Ga7 0.5876 0.8278 0.4155
Ga8 0.7500 0.7500 0.0000
Ga9 0.9124 0.3278 0.2402
Ga10 0.9536 0.2500 0.7036
Rh1 0.1492 0.9061 0.0553
Rh2 0.2500 0.7500 0.5000
Rh3 0.3508 0.4061 0.7568
Rh4 0.6492 0.5939 0.2432
Rh5 0.7500 0.2500 0.5000
Rh6 0.8508 0.0939 0.9447


Record 3
# Ce2Ga2Rh | Alexandria | PBE-GGA | relaxed
# - Fermi-level density of states: 1.399 states/eV per atom
# - Energy of formation: -69.44 kJ/mol of atoms
# - Raw total energy: -5.77 eV/atom
# - Symmetry: C2/m
# - Energy relative to the lowest polymorph listed for this composition: 0.0 meV/atom
data_Ce2Ga2Rh
_chemical_formula_sum 'Ce4 Ga4 Rh2'
_symmetry_space_group_name_H-M 'P 1'
_symmetry_Int_Tables_number 1
_symmetry_space_group_name_Hall 'P 1'
_cell_length_a 6.1567
_cell_length_b 6.1567
_cell_length_c 8.5904
_cell_angle_alpha 108.80
_cell_angle_beta 108.80
_cell_angle_gamma 44.26
loop_
_atom_site_label
_atom_site_fract_x
_atom_site_fract_y
_atom_site_fract_z
Ce1 0.1219 0.1219 0.3951
Ce2 0.1473 0.1473 0.9913
Ce3 0.8527 0.8527 0.0087
Ce4 0.8781 0.8781 0.6049
Ga1 0.4020 0.4020 0.3332
Ga2 0.4501 0.4501 0.8439
Ga3 0.5499 0.5499 0.1561
Ga4 0.5980 0.5980 0.6668
Rh1 0.2093 0.2093 0.7071
Rh2 0.7907 0.7907 0.2929


Record 4
# Ce4GaRh2 | Alexandria | PBE-GGA | relaxed
# - Fermi-level density of states: 2.444 states/eV per atom
# - Energy of formation: -50.13 kJ/mol of atoms
# - Raw total energy: -6.44 eV/atom
# - Symmetry: P1
data_Ce4GaRh2
_chemical_formula_sum 'Ce8 Ga2 Rh4'
_symmetry_space_group_name_H-M 'P 1'
_symmetry_Int_Tables_number 1
_symmetry_space_group_name_Hall 'P 1'
_cell_length_a 7.2878
_cell_length_b 7.2897
_cell_length_c 7.9508
_cell_angle_alpha 107.58
_cell_angle_beta 107.58
_cell_angle_gamma 109.93
loop_
_atom_site_label
_atom_site_fract_x
_atom_site_fract_y
_atom_site_fract_z
Ce1 0.0000 0.0000 0.0000
Ce2 0.0057 0.9906 0.4964
Ce3 0.1252 0.4756 0.3794
Ce4 0.3743 0.8581 0.2323
Ce5 0.4703 0.6034 0.8543
Ce6 0.4795 0.1130 0.8740
Ce7 0.6107 0.4604 0.3512
Ce8 0.8656 0.3647 0.7305
Ga1 0.6191 0.8581 0.6156
Ga2 0.8675 0.6067 0.1139
Rh1 0.1024 0.7358 0.7273
Rh2 0.2411 0.3729 0.0021
Rh3 0.3808 0.2335 0.5016
Rh4 0.7438 0.0979 0.2278